DFT (PBE) results for an optimized crystal structure of P2OsPtO. Values from VASP.

```
&SYSTEM
  ibrav = 0, nat = 5, ntyp = 4
/
ATOMIC_SPECIES
P 30.97 P.upf
Os 190.23 Os.upf
Pt 195.08 Pt.upf
O 16.00 O.upf
CELL_PARAMETERS angstrom
4.713 0.000 0.000
0.000 4.713 0.000
0.000 0.000 3.619
ATOMIC_POSITIONS angstrom
P 0.000 2.356 0.000
P 2.356 0.000 0.000
Os 0.000 0.000 0.000
Pt 2.356 2.356 1.809
O 0.000 0.000 1.809
```

**Uncorrected formation energy**: 0.22 eV/atom
**Symmetry**: P4/mmm (123)
**Magnetic moment**: 0.00 μB per formula unit
**Uncorrected energy**: -31.963 eV per cell
**N(E_F)**: 2.1 states/eV/cell
**Energy above the most stable polymorph in this dataset**: 0.00 kcal/mol of atoms